(1)
7
Lattice="4.3743 -3.5110 0.0000 4.3743 3.5110 0.0000 -3.0755 0.0000 4.2635" Properties=species:S:1:pos:R:3 comment="Zn2Ag4Sn (PBE, optimized geometry)" crystal_system=monoclinic total_energy_ry_per_atom=-0.185 vol_a3_per_atom=18.709 pbc="T T T"
Zn -0.7662 0.0000 1.0631
Zn 6.4393 0.0000 3.2004
Ag 1.7139 1.4030 1.2802
Ag 3.9592 1.4030 2.9834
Ag 1.7139 -1.4030 1.2802
Ag 3.9592 -1.4030 2.9834
Sn 4.3743 0.0000 0.0000



(2)
10
Lattice="3.8686 0.0000 0.0000 0.0000 11.1824 3.1921 0.0000 -11.1824 3.1921" Properties=species:S:1:pos:R:3 comment="DyAlS3 (PBE, optimized geometry)" crystal_system=orthorhombic raw_formation_energy_ev_per_atom=-1.557 vol_a3_per_atom=27.618 pbc="T T T"
Dy 0.9671 -7.2697 3.1921
Dy 2.9014 7.2697 3.1921
Al 0.9671 -2.8143 2.7552
Al 2.9014 2.8143 2.7552
S 0.9671 -4.8890 1.7358
S 0.9671 1.8781 1.8850
S 0.9671 -2.7333 4.9818
S 2.9014 -1.8781 1.8850
S 2.9014 4.8890 1.7358
S 2.9014 2.7333 4.9818



(3)
4
Lattice="3.1500 0.0000 0.0000 0.0000 3.1500 0.0000 0.0000 0.0000 6.9031" Properties=species:S:1:pos:R:3 comment="LaCr2Fe (PBE, optimized geometry)" crystal_system=tetragonal relative_energy_mev_per_atom=157 vol_a3_per_atom=17.123 pbc="T T T"
La 0.0000 0.0000 0.0000
Cr 1.5750 1.5750 2.4195
Cr 1.5750 1.5750 4.4835
Fe 0.0000 0.0000 3.4515



(4)
8
Lattice="-3.5791 3.5791 2.6616 3.5791 -3.5791 2.6616 3.5791 3.5791 -2.6616" Properties=species:S:1:pos:R:3 comment="TaZnRe2 (PBE, optimized geometry)" crystal_system=tetragonal total_energy_ry_per_atom=-0.633 vol_a3_per_atom=17.047 pbc="T T T"
Ta 0.0000 0.0000 0.0000
Ta 0.0000 3.5791 1.3308
Zn 3.5791 0.0000 1.3308
Zn 0.0000 0.0000 2.6616
Re 1.7896 1.7746 -0.6654
Re 1.8045 -1.7896 3.3270
Re 1.7896 1.8045 1.9962
Re 1.7746 5.3687 0.6654



(5)
5
Lattice="4.0577 0.0000 0.0000 0.0000 4.0577 0.0000 0.0000 0.0000 5.7305" Properties=species:S:1:pos:R:3 comment="ScHgAsF2 (PBE, optimized geometry)" crystal_system=tetragonal raw_formation_energy_ev_per_atom=-2.159 vol_a3_per_atom=18.870 pbc="T T T"
Sc 0.0000 0.0000 0.0000
Hg 2.0288 2.0288 2.8652
As 0.0000 0.0000 2.8652
F 0.0000 2.0288 0.0000
F 2.0288 0.0000 0.0000



(6)
4
Lattice="2.8958 0.0000 0.0000 0.0000 3.1204 0.0000 -0.0366 0.0000 6.8536" Properties=species:S:1:pos:R:3 comment="Ni2WCl (PBE, optimized geometry)" crystal_system=monoclinic relative_energy_mev_per_atom=62 raw_formation_energy_ev_per_atom=0.210 vol_a3_per_atom=15.483 pbc="T T T"
Ni 0.0000 0.0000 0.0000
Ni 1.4098 1.5602 5.6263
W 1.4478 1.5602 1.3145
Cl 1.4503 0.0000 3.2226